The following is a GGA-PBE calculation of Th4Bi5O after structural relaxation, from the Alexandria database.

The structure belongs to space group C2/m (No. 12); the cell edges are 18.249, 3.588 and 9.307 Å and the angles 90.00°, 90.64° and 90.00°. The distinct sites, in fractional coordinates, are Th at (0.014, 0.000, 0.312), Th at (0.146, 0.500, 0.561), Bi at (0.000, 0.500, 0.000), Bi at (0.149, 0.000, 0.880), Bi at (0.193, 0.000, 0.267) and O at (0.000, 0.500, 0.500).

Its formation energy from raw total energies is -658 meV/atom. The calculation puts the mass density at 10.8 g cm⁻³. The calculation puts the magnetization at 0.00 μB per atom.